No. 1
Compound: ZnCu2SnSeS3
Source: the Alexandria database
Functional: PBE
Structure: optimized geometry

Calculated values
For the total energy, the calculation gives -4.1073 eV/atom. Its uncorrected formation energy is -440 meV/atom.

a = 5.5356 Å, b = 5.5419 Å, c = 6.7808 Å
α = 114.10°, β = 113.98°, γ = 90.14°
Element x y z (fractional)
Zn (0.0000, 0.0000, 0.0000)
Cu (0.2621, 0.7328, 0.4787)
Cu (0.5264, 0.5266, 0.0086)
Sn (0.7506, 0.2584, 0.4930)
Se (0.1602, 0.1245, 0.7554)
S (0.3696, 0.8616, 0.2355)
S (0.6177, 0.6419, 0.7516)
S (0.8839, 0.3890, 0.2355)

No. 2
Compound: SrCuSe2S4
Source: the Alexandria database
Functional: PBE
Structure: optimized geometry

Calculated values
For the total energy, the calculation gives -4.1097 eV/atom. Its uncorrected formation energy is -453 meV/atom.

a = 6.6988 Å, b = 6.6988 Å, c = 7.7644 Å
α = 90.00°, β = 90.00°, γ = 90.00°
Element x y z (fractional)
Sr (0.0000, 0.0000, 0.0000)
Sr (0.5000, 0.5000, 0.5000)
Cu (0.0000, 0.0000, 0.5000)
Cu (0.5000, 0.5000, 0.0000)
Se (0.0000, 0.5000, 0.2500)
Se (0.0000, 0.5000, 0.7500)
Se (0.5000, 0.0000, 0.2500)
Se (0.5000, 0.0000, 0.7500)
S (0.2036, 0.2036, 0.6618)
S (0.2036, 0.7964, 0.3382)
S (0.2964, 0.2964, 0.1618)
S (0.2964, 0.7036, 0.8382)
S (0.7036, 0.2964, 0.8382)
S (0.7036, 0.7036, 0.1618)
S (0.7964, 0.2036, 0.3382)
S (0.7964, 0.7964, 0.6618)

No. 3
Compound: TlCuSeS2
Source: the Alexandria database
Functional: PBE
Structure: optimized geometry

Calculated values
For the total energy, the calculation gives -3.7478 eV/atom. Its uncorrected formation energy is -107 meV/atom.

a = 6.3756 Å, b = 6.3756 Å, c = 7.1003 Å
α = 90.00°, β = 90.00°, γ = 127.22°
Element x y z (fractional)
Tl (0.2500, 0.7500, 0.7656)
Tl (0.7500, 0.2500, 0.2344)
Cu (0.2500, 0.2500, 0.0000)
Cu (0.7500, 0.7500, 0.0000)
Se (0.0000, 0.0000, 0.5000)
Se (0.5000, 0.5000, 0.5000)
S (0.1032, 0.8968, 0.1932)
S (0.3968, 0.6032, 0.1932)
S (0.6032, 0.3968, 0.8068)
S (0.8968, 0.1032, 0.8068)

Number 1: volume 21.24 Å³/atom. Number 2: volume 21.78 Å³/atom. Number 3: volume 22.98 Å³/atom.